LiPuHg6 after structural relaxation. Source: Alexandria, functional PBE.

a = 5.130 Å, b = 6.623 Å, c = 6.623 Å
α = 60.00°, β = 90.00°, γ = 90.00°
Atoms (fractional coordinates):
Li  0.000  0.000  0.000
Pu  0.500  0.668  0.668
Hg  0.000  0.006  0.498
Hg  0.000  0.498  0.006
Hg  0.000  0.498  0.498
Hg  0.500  0.163  0.163
Hg  0.500  0.164  0.675
Hg  0.500  0.675  0.164

## Properties
Energy above the most stable polymorph in this dataset   0.000 eV per atom
Total DFT energy (no corrections)   -2.413 eV per atom
E_form   -0.156 eV/atom